No. 1
Compound: Sr2HgOs
Source: Alexandria
Functional: GGA-PBE
Structure: relaxed

a b c (Å): 6.351 6.351 5.302
angles (deg): 111.15 111.15 33.83
Fractional positions:
Sr 0.000 0.000 0.000
Sr 0.197 0.197 0.675
Hg 0.781 0.781 0.257
Os 0.463 0.463 0.474

Summary:
- Density of states at the Fermi level: 2.1 states/eV/f.u.
- ρ: 8523 kg/m3
- Energy: -3.3790 eV/atom
- M_tot: 0.0 μB/f.u.



No. 2
Compound: Sc3AuN
Source: Alexandria
Functional: GGA-PBE
Structure: relaxed

a b c (Å): 3.938 3.938 14.612
angles (deg): 90.00 90.00 120.00
Fractional positions:
Sc 0.000 0.000 0.250
Sc 0.000 0.000 0.750
Sc 0.333 0.667 0.103
Sc 0.333 0.667 0.397
Sc 0.667 0.333 0.603
Sc 0.667 0.333 0.897
Au 0.000 0.000 0.000
Au 0.000 0.000 0.500
N 0.333 0.667 0.250
N 0.667 0.333 0.750

Summary:
- Raw formation energy: -856.2 meV/atom
- Density of states at the Fermi level: 3.6 states/eV/f.u.
- ρ: 5853 kg/m3
- M_tot: 0.0 μB/f.u.



No. 3
Compound: AcHoSe3
Source: Alexandria
Functional: GGA-PBE
Structure: relaxed

a b c (Å): 8.691 4.233 15.457
angles (deg): 90.00 90.00 90.00
Fractional positions:
Ac 0.131 0.250 0.195
Ac 0.369 0.750 0.695
Ac 0.631 0.250 0.305
Ac 0.869 0.750 0.805
Ho 0.187 0.750 0.456
Ho 0.313 0.250 0.956
Ho 0.687 0.750 0.044
Ho 0.813 0.250 0.544
Se 0.000 0.250 0.389
Se 0.000 0.750 0.611
Se 0.157 0.750 0.044
Se 0.158 0.250 0.793
Se 0.342 0.750 0.293
Se 0.343 0.250 0.544
Se 0.500 0.250 0.111
Se 0.500 0.750 0.889
Se 0.657 0.750 0.456
Se 0.658 0.250 0.707
Se 0.842 0.750 0.207
Se 0.843 0.250 0.956

Summary:
- Raw formation energy: -1958.9 meV/atom
- Energy relative to the lowest polymorph listed for this composition: 0.00 eV per formula unit
- ρ: 7345 kg/m3
- M_tot: 0.0 μB/f.u.



No. 4
Compound: La2PrNd6Y3
Source: Alexandria
Functional: GGA-PBE
Structure: relaxed

a b c (Å): 6.366 6.366 12.132
angles (deg): 95.02 95.02 120.04
Fractional positions:
La 0.166 0.834 0.000
La 0.834 0.166 0.000
Pr 0.500 0.500 0.000
Nd 0.081 0.415 0.745
Nd 0.252 0.252 0.255
Nd 0.415 0.081 0.745
Nd 0.585 0.919 0.255
Nd 0.748 0.748 0.745
Nd 0.919 0.585 0.255
Y 0.000 0.000 0.500
Y 0.333 0.667 0.500
Y 0.667 0.333 0.500

Summary:
- Density of states at the Fermi level: 18.8 states/eV/f.u.
- ρ: 6145 kg/m3
- Energy: -5.2041 eV/atom
- M_tot: 0.0 μB/f.u.



No. 5
Compound: CaAlCd2
Source: Alexandria
Functional: GGA-PBE
Structure: relaxed

a b c (Å): 3.595 3.595 7.402
angles (deg): 90.00 90.00 90.00
Fractional positions:
Ca 0.000 0.000 0.000
Al 0.000 0.000 0.500
Cd 0.500 0.500 0.285
Cd 0.500 0.500 0.715

Summary:
- Density of states at the Fermi level: 1.9 states/eV/f.u.
- ρ: 5067 kg/m3
- Energy: -2.0172 eV/atom
- M_tot: 0.0 μB/f.u.



No. 6
Compound: Pr6In3Ru
Source: Alexandria
Functional: GGA-PBE
Structure: relaxed

a b c (Å): 5.496 9.356 13.072
angles (deg): 90.00 114.58 90.00
Fractional positions:
Pr 0.068 0.192 0.073
Pr 0.068 0.308 0.573
Pr 0.248 0.510 0.238
Pr 0.248 0.990 0.738
Pr 0.408 0.152 0.419
Pr 0.408 0.348 0.919
Pr 0.592 0.652 0.081
Pr 0.592 0.848 0.581
Pr 0.752 0.010 0.262
Pr 0.752 0.490 0.762
Pr 0.932 0.692 0.427
Pr 0.932 0.808 0.927
In 0.227 0.655 0.736
In 0.227 0.845 0.236
In 0.500 0.000 0.000
In 0.500 0.500 0.500
In 0.773 0.155 0.764
In 0.773 0.345 0.264
Ru 0.000 0.000 0.500
Ru 0.000 0.500 0.000

Summary:
- Density of states at the Fermi level: 8.3 states/eV/f.u.
- Energy relative to the lowest polymorph listed for this composition: 0.24 eV per formula unit
- ρ: 7013 kg/m3
- M_tot: 0.0 μB/f.u.



No. 7
Compound: TmInSe2
Source: Alexandria
Functional: GGA-PBE
Structure: relaxed

a b c (Å): 8.213 8.213 8.213
angles (deg): 28.75 28.75 28.75
Fractional positions:
Tm 0.000 0.000 0.000
In 0.831 0.831 0.831
Se 0.401 0.401 0.401
Se 0.599 0.599 0.599

Summary:
- Raw formation energy: -1274.9 meV/atom
- ρ: 6473 kg/m3
- M_tot: 0.0 μB/f.u.



No. 8
Compound: La3Tl3BiS8
Source: Alexandria
Functional: GGA-PBE
Structure: relaxed

a b c (Å): 8.769 8.769 8.769
angles (deg): 57.99 57.99 57.99
Fractional positions:
La 0.000 0.500 0.500
La 0.500 0.000 0.500
La 0.500 0.500 0.000
Tl 0.000 0.000 0.500
Tl 0.000 0.500 0.000
Tl 0.500 0.000 0.000
Bi 0.000 0.000 0.000
S 0.232 0.232 0.742
S 0.232 0.742 0.232
S 0.258 0.768 0.768
S 0.263 0.263 0.263
S 0.737 0.737 0.737
S 0.742 0.232 0.232
S 0.768 0.258 0.768
S 0.768 0.768 0.258

Summary:
- Raw formation energy: -1223.1 meV/atom
- Density of states at the Fermi level: 11.7 states/eV/f.u.
- ρ: 5460 kg/m3
- M_tot: 0.0 μB/f.u.



No. 9
Compound: HoP3Rh5
Source: Alexandria
Functional: GGA-PBE
Structure: relaxed

a b c (Å): 6.334 6.334 12.207
angles (deg): 90.00 90.00 144.52
Fractional positions:
Ho 0.141 0.859 0.750
Ho 0.859 0.141 0.250
P 0.116 0.884 0.250
P 0.390 0.610 0.046
P 0.390 0.610 0.454
P 0.610 0.390 0.546
P 0.610 0.390 0.954
P 0.884 0.116 0.750
Rh 0.000 0.000 0.000
Rh 0.000 0.000 0.500
Rh 0.212 0.788 0.080
Rh 0.212 0.788 0.420
Rh 0.441 0.559 0.642
Rh 0.441 0.559 0.858
Rh 0.559 0.441 0.142
Rh 0.559 0.441 0.358
Rh 0.788 0.212 0.580
Rh 0.788 0.212 0.920

Summary:
- Density of states at the Fermi level: 4.5 states/eV/f.u.
- ρ: 9022 kg/m3
- Energy: -7.1856 eV/atom
- M_tot: 0.0 μB/f.u.



No. 10
Compound: BaMgGeO4
Source: Alexandria
Functional: GGA-PBE
Structure: relaxed

a b c (Å): 5.477 5.844 7.057
angles (deg): 90.00 106.09 90.00
Fractional positions:
Ba 0.232 0.250 0.442
Ba 0.768 0.750 0.558
Mg 0.366 0.250 0.002
Mg 0.634 0.750 0.998
Ge 0.235 0.750 0.171
Ge 0.765 0.250 0.829
O 0.018 0.250 0.043
O 0.144 0.750 0.393
O 0.470 0.526 0.188
O 0.470 0.974 0.188
O 0.530 0.026 0.812
O 0.530 0.474 0.812
O 0.856 0.250 0.607
O 0.982 0.750 0.957

Summary:
- Raw formation energy: -2293.9 meV/atom
- Density of states at the Fermi level: 0.0 states/eV/f.u.
- ρ: 4564 kg/m3
- M_tot: 0.0 μB/f.u.



No. 11
Compound: BeAlAs2
Source: Alexandria
Functional: GGA-PBE
Structure: relaxed

a b c (Å): 9.022 9.022 9.022
angles (deg): 18.86 18.86 18.86
Fractional positions:
Be 0.000 0.000 0.000
Al 0.500 0.500 0.500
As 0.267 0.267 0.267
As 0.733 0.733 0.733

Summary:
- Density of states at the Fermi level: 1.0 states/eV/f.u.
- Energy relative to the lowest polymorph listed for this composition: 1.82 eV per formula unit
- ρ: 4601 kg/m3
- M_tot: 0.0 μB/f.u.



No. 12
Compound: BaNaSbPb
Source: Alexandria
Functional: GGA-PBE
Structure: relaxed

a b c (Å): 5.756 5.756 5.756
angles (deg): 60.00 60.00 60.00
Fractional positions:
Ba 0.000 0.000 0.000
Na 0.250 0.250 0.250
Sb 0.750 0.750 0.750
Pb 0.500 0.500 0.500

Summary:
- Raw formation energy: -361.2 meV/atom
- Density of states at the Fermi level: 3.0 states/eV/f.u.
- ρ: 6024 kg/m3
- M_tot: 0.0 μB/f.u.